(1)
{
  "formula": "MgTa2Cd",
  "functional": "GGA-PBE",
  "state": "relaxed",
  "e_above_lowest_polymorph_mev_per_atom": 0,
  "delta_e_f_ev_per_atom": 0.108,
  "crystal_system": "orthorhombic",
  "dft_energy_ry_per_atom": -0.474,
  "lattice_angstrom": [[2.908, -0.002, 0.000], [-0.779, 2.802, 0.000], [0.000, 0.000, 9.543]],
  "species": ["Mg", "Ta", "Ta", "Cd"],
  "fractional_positions": [[0.500, 0.500, 0.755], [0.500, 0.500, 0.239], [0.000, 0.000, 0.009], [0.000, 0.000, 0.496]]
}

---

(2)
{
  "formula": "Mg2TaCd",
  "functional": "GGA-PBE",
  "state": "relaxed",
  "delta_e_f_ev_per_atom": 0.272,
  "crystal_system": "monoclinic",
  "dft_energy_ry_per_atom": -0.273,
  "lattice_angstrom": [[4.805, 0.000, 0.000], [0.000, 2.886, 0.001], [0.000, 1.081, 5.772]],
  "species": ["Ta", "Mg", "Mg", "Cd"],
  "fractional_positions": [[0.000, 0.514, 0.507], [0.500, 0.204, 0.253], [0.000, 0.931, 0.006], [0.500, 0.851, 0.734]]
}